(1)
# Er2PbS4 (PBE-GGA, optimized geometry)
data_Er2PbS4
_symmetry_space_group_name_H-M 'P 1'
_symmetry_Int_Tables_number 1
_cell_length_a 6.774
_cell_length_b 6.774
_cell_length_c 13.484
_cell_angle_alpha 90.00
_cell_angle_beta 90.00
_cell_angle_gamma 146.20
loop_
_symmetry_equiv_pos_as_xyz
'x,y,z'
loop_
_atom_site_label
_atom_site_fract_x
_atom_site_fract_y
_atom_site_fract_z
_atom_site_occupancy
Er1 0.136 0.864 0.567 1
Er2 0.136 0.864 0.933 1
Er3 0.864 0.136 0.067 1
Er4 0.864 0.136 0.433 1
Pb1 0.395 0.605 0.750 1
Pb2 0.605 0.395 0.250 1
S1 0.052 0.948 0.750 1
S2 0.232 0.768 0.112 1
S3 0.232 0.768 0.388 1
S4 0.500 0.500 0.000 1
S5 0.500 0.500 0.500 1
S6 0.768 0.232 0.612 1
S7 0.768 0.232 0.888 1
S8 0.948 0.052 0.250 1
# Total magnetic moment   0.00 μB per formula unit
# D(E_F)   0.000 states/eV/atom
# E above lowest polymorph   7.5 meV per atom
# ΔE_f (raw)   -1.63 eV/atom
# SG   Cmcm

---

(2)
# Tb5NdY (PBE-GGA, optimized geometry)
data_Tb5NdY
_symmetry_space_group_name_H-M 'P 1'
_symmetry_Int_Tables_number 1
_cell_length_a 7.930
_cell_length_b 7.930
_cell_length_c 7.930
_cell_angle_alpha 137.01
_cell_angle_beta 113.90
_cell_angle_gamma 82.15
loop_
_symmetry_equiv_pos_as_xyz
'x,y,z'
loop_
_atom_site_label
_atom_site_fract_x
_atom_site_fract_y
_atom_site_fract_z
_atom_site_occupancy
Tb1 0.000 0.000 0.000 1
Tb2 0.245 0.745 0.500 1
Tb3 0.322 0.500 0.822 1
Tb4 0.678 0.500 0.178 1
Tb5 0.755 0.255 0.500 1
Nd1 0.000 0.500 0.500 1
Y1 0.500 0.000 0.500 1
# Total magnetic moment   0.00 μB per formula unit
# D(E_F)   1.401 states/eV/atom
# E above lowest polymorph   894.7 meV per atom
# Formation energy   1074 meV/atom
# SG   Immm

---

(3)
# Ho3ZnIn (PBE-GGA, optimized geometry)
data_Ho3ZnIn
_symmetry_space_group_name_H-M 'P 1'
_symmetry_Int_Tables_number 1
_cell_length_a 10.456
_cell_length_b 10.456
_cell_length_c 5.084
_cell_angle_alpha 90.00
_cell_angle_beta 90.00
_cell_angle_gamma 151.84
loop_
_symmetry_equiv_pos_as_xyz
'x,y,z'
loop_
_atom_site_label
_atom_site_fract_x
_atom_site_fract_y
_atom_site_fract_z
_atom_site_occupancy
Ho1 0.063 0.937 0.750 1
Ho2 0.250 0.750 0.750 1
Ho3 0.437 0.563 0.750 1
Ho4 0.563 0.437 0.250 1
Ho5 0.750 0.250 0.250 1
Ho6 0.937 0.063 0.250 1
Zn1 0.156 0.844 0.250 1
Zn2 0.844 0.156 0.750 1
In1 0.342 0.658 0.250 1
In2 0.658 0.342 0.750 1
# Total magnetic moment   0.00 μB per formula unit
# D(E_F)   1.091 states/eV/atom
# E above lowest polymorph   0.0 meV per atom
# Formation energy   -300 meV/atom
# SG   Cmcm

---

(4)
# BaHf3As (PBE-GGA, optimized geometry)
data_BaHf3As
_symmetry_space_group_name_H-M 'P 1'
_symmetry_Int_Tables_number 1
_cell_length_a 5.178
_cell_length_b 5.178
_cell_length_c 5.178
_cell_angle_alpha 90.00
_cell_angle_beta 90.00
_cell_angle_gamma 90.00
loop_
_symmetry_equiv_pos_as_xyz
'x,y,z'
loop_
_atom_site_label
_atom_site_fract_x
_atom_site_fract_y
_atom_site_fract_z
_atom_site_occupancy
Ba1 0.000 0.000 0.000 1
Hf1 0.000 0.500 0.500 1
Hf2 0.500 0.000 0.500 1
Hf3 0.500 0.500 0.000 1
As1 0.500 0.500 0.500 1
# Total magnetic moment   0.00 μB per formula unit
# D(E_F)   1.057 states/eV/atom
# E above lowest polymorph   0.0 meV per atom
# Formation energy   289 meV/atom
# SG   Pm-3m

---

(5)
# ZnAs2Br (PBE-GGA, optimized geometry)
data_ZnAs2Br
_symmetry_space_group_name_H-M 'P 1'
_symmetry_Int_Tables_number 1
_cell_length_a 5.078
_cell_length_b 5.078
_cell_length_c 3.170
_cell_angle_alpha 90.00
_cell_angle_beta 90.00
_cell_angle_gamma 90.00
loop_
_symmetry_equiv_pos_as_xyz
'x,y,z'
loop_
_atom_site_label
_atom_site_fract_x
_atom_site_fract_y
_atom_site_fract_z
_atom_site_occupancy
Zn1 0.000 0.000 0.000 1
As1 0.000 0.500 0.500 1
As2 0.500 0.000 0.500 1
Br1 0.500 0.500 0.000 1
# Total magnetic moment   0.00 μB per formula unit
# D(E_F)   0.418 states/eV/atom
# E above lowest polymorph   665.4 meV per atom
# ΔE_f (raw)   0.49 eV/atom
# SG   P4/mmm

---

(6)
# Y3BeNb (PBE-GGA, optimized geometry)
data_Y3BeNb
_symmetry_space_group_name_H-M 'P 1'
_symmetry_Int_Tables_number 1
_cell_length_a 5.151
_cell_length_b 5.151
_cell_length_c 5.151
_cell_angle_alpha 90.00
_cell_angle_beta 90.00
_cell_angle_gamma 90.00
loop_
_symmetry_equiv_pos_as_xyz
'x,y,z'
loop_
_atom_site_label
_atom_site_fract_x
_atom_site_fract_y
_atom_site_fract_z
_atom_site_occupancy
Y1 0.000 0.000 0.500 1
Y2 0.000 0.500 0.000 1
Y3 0.500 0.000 0.000 1
Be1 0.000 0.000 0.000 1
Nb1 0.500 0.500 0.500 1
# Total magnetic moment   2.54 μB per formula unit
# D(E_F)   1.247 states/eV/atom
# E above lowest polymorph   0.0 meV per atom
# Formation energy   681 meV/atom
# SG   Pm-3m

---

(7)
# Ba2GdC2O6F3 (PBE-GGA, optimized geometry)
data_Ba2GdC2O6F3
_symmetry_space_group_name_H-M 'P 1'
_symmetry_Int_Tables_number 1
_cell_length_a 9.652
_cell_length_b 7.099
_cell_length_c 11.955
_cell_angle_alpha 90.00
_cell_angle_beta 90.00
_cell_angle_gamma 90.00
loop_
_symmetry_equiv_pos_as_xyz
'x,y,z'
loop_
_atom_site_label
_atom_site_fract_x
_atom_site_fract_y
_atom_site_fract_z
_atom_site_occupancy
Ba1 0.120 0.238 0.071 1
Ba2 0.120 0.762 0.571 1
Ba3 0.380 0.262 0.571 1
Ba4 0.380 0.738 0.071 1
Ba5 0.620 0.262 0.929 1
Ba6 0.620 0.738 0.429 1
Ba7 0.880 0.238 0.429 1
Ba8 0.880 0.762 0.929 1
Gd1 0.000 0.227 0.750 1
Gd2 0.000 0.773 0.250 1
Gd3 0.500 0.273 0.250 1
Gd4 0.500 0.727 0.750 1
C1 0.194 0.479 0.321 1
C2 0.194 0.521 0.821 1
C3 0.306 0.021 0.821 1
C4 0.306 0.979 0.321 1
C5 0.694 0.021 0.679 1
C6 0.694 0.979 0.179 1
C7 0.806 0.479 0.179 1
C8 0.806 0.521 0.679 1
O1 0.091 0.478 0.887 1
O2 0.091 0.522 0.387 1
O3 0.187 0.459 0.718 1
O4 0.187 0.541 0.218 1
O5 0.203 0.119 0.856 1
O6 0.203 0.881 0.356 1
O7 0.297 0.381 0.356 1
O8 0.297 0.619 0.856 1
O9 0.313 0.041 0.218 1
O10 0.313 0.959 0.718 1
O11 0.409 0.022 0.387 1
O12 0.409 0.978 0.887 1
O13 0.591 0.022 0.113 1
O14 0.591 0.978 0.613 1
O15 0.687 0.041 0.282 1
O16 0.687 0.959 0.782 1
O17 0.703 0.381 0.144 1
O18 0.703 0.619 0.644 1
O19 0.797 0.119 0.644 1
O20 0.797 0.881 0.144 1
O21 0.813 0.459 0.782 1
O22 0.813 0.541 0.282 1
O23 0.909 0.478 0.613 1
O24 0.909 0.522 0.113 1
F1 0.000 0.103 0.250 1
F2 0.000 0.897 0.750 1
F3 0.095 0.149 0.576 1
F4 0.095 0.851 0.076 1
F5 0.405 0.351 0.076 1
F6 0.405 0.649 0.576 1
F7 0.500 0.397 0.750 1
F8 0.500 0.603 0.250 1
F9 0.595 0.351 0.424 1
F10 0.595 0.649 0.924 1
F11 0.905 0.149 0.924 1
F12 0.905 0.851 0.424 1
# Total magnetic moment   6.93 μB per formula unit
# D(E_F)   0.000 states/eV/atom
# ΔE_f (raw)   -2.80 eV/atom
# SG   Pbcn

---

(8)
# Sc2As2Ru (PBE-GGA, optimized geometry)
data_Sc2As2Ru
_symmetry_space_group_name_H-M 'P 1'
_symmetry_Int_Tables_number 1
_cell_length_a 6.558
_cell_length_b 6.558
_cell_length_c 4.051
_cell_angle_alpha 90.00
_cell_angle_beta 90.00
_cell_angle_gamma 90.00
loop_
_symmetry_equiv_pos_as_xyz
'x,y,z'
loop_
_atom_site_label
_atom_site_fract_x
_atom_site_fract_y
_atom_site_fract_z
_atom_site_occupancy
Sc1 0.169 0.331 0.000 1
Sc2 0.331 0.831 0.000 1
Sc3 0.669 0.169 0.000 1
Sc4 0.831 0.669 0.000 1
As1 0.144 0.644 0.500 1
As2 0.356 0.144 0.500 1
As3 0.644 0.856 0.500 1
As4 0.856 0.356 0.500 1
Ru1 0.000 0.000 0.500 1
Ru2 0.500 0.500 0.500 1
# Total magnetic moment   0.00 μB per formula unit
# D(E_F)   0.362 states/eV/atom
# E above lowest polymorph   0.0 meV per atom
# Formation energy   -902 meV/atom
# SG   P4/mbm

---

(9)
# LiIrW (PBE-GGA, optimized geometry)
data_LiIrW
_symmetry_space_group_name_H-M 'P 1'
_symmetry_Int_Tables_number 1
_cell_length_a 4.224
_cell_length_b 4.224
_cell_length_c 2.722
_cell_angle_alpha 90.00
_cell_angle_beta 90.00
_cell_angle_gamma 120.00
loop_
_symmetry_equiv_pos_as_xyz
'x,y,z'
loop_
_atom_site_label
_atom_site_fract_x
_atom_site_fract_y
_atom_site_fract_z
_atom_site_occupancy
Li1 0.000 0.000 0.000 1
Ir1 0.333 0.667 0.731 1
W1 0.667 0.333 0.364 1
# Total magnetic moment   0.00 μB per formula unit
# D(E_F)   0.796 states/eV/atom
# E above lowest polymorph   0.0 meV per atom
# Formation energy   16 meV/atom
# SG   P3m1

---

(10)
# NaLa3Re (PBE-GGA, optimized geometry)
data_NaLa3Re
_symmetry_space_group_name_H-M 'P 1'
_symmetry_Int_Tables_number 1
_cell_length_a 5.697
_cell_length_b 5.697
_cell_length_c 5.697
_cell_angle_alpha 90.00
_cell_angle_beta 90.00
_cell_angle_gamma 90.00
loop_
_symmetry_equiv_pos_as_xyz
'x,y,z'
loop_
_atom_site_label
_atom_site_fract_x
_atom_site_fract_y
_atom_site_fract_z
_atom_site_occupancy
Na1 0.000 0.000 0.000 1
La1 0.000 0.500 0.500 1
La2 0.500 0.000 0.500 1
La3 0.500 0.500 0.000 1
Re1 0.500 0.500 0.500 1
# Total magnetic moment   0.02 μB per formula unit
# D(E_F)   1.684 states/eV/atom
# E above lowest polymorph   0.0 meV per atom
# Formation energy   199 meV/atom
# SG   Pm-3m